A plane-wave DFT calculation with GGA-PBE was carried out for Ce2TlHg4 after structural relaxation.

The calculation puts the total magnetic moment at 0.2726 μB per atom. The calculated formation energy comes out at -224 meV/atom. Its total DFT energy (no corrections) is -2.429 eV/atom. For the excess energy over the best structure of this formula in the dataset, the calculation gives 0.0 meV/atom.

a b c (Å): 5.3407 5.3407 22.9792
angles (deg): 90.00 90.00 120.00
Space group R-3m (No. 166, hexagonal axes)
Inequivalent atoms, fractional coordinates:
Ce  0.0000  0.0000  0.2263 x6
Tl  0.0000  0.0000  0.5000 x3
Hg  0.0000  0.0000  0.0722 x6
Hg  0.0000  0.0000  0.3653 x6

***

A plane-wave DFT calculation with GGA-PBE was carried out for CeYTlHg after structural relaxation.

The calculation puts the total magnetic moment at 0.4318 μB per atom. The calculated formation energy comes out at -343 meV/atom. Its total DFT energy (no corrections) is -4.110 eV/atom.

a b c (Å): 7.645 7.645 7.645
angles (deg): 90.00 90.00 90.00
Space group F-43m (No. 216)
Inequivalent atoms, fractional coordinates:
Ce  0.000  0.000  0.000 x4
Y  0.000  0.000  0.500 x4
Tl  0.250  0.250  0.250 x4
Hg  0.250  0.250  0.750 x4

***

A plane-wave DFT calculation with GGA-PBE was carried out for CeTlZnHg after structural relaxation.

The calculation puts the total magnetic moment at 0.2626 μB per atom. The calculated formation energy comes out at -195 meV/atom. Its total DFT energy (no corrections) is -2.664 eV/atom.

a b c (Å): 7.316 7.316 7.316
angles (deg): 90.00 90.00 90.00
Space group F-43m (No. 216)
Inequivalent atoms, fractional coordinates:
Ce  0.000  0.000  0.000 x4
Tl  0.000  0.000  0.500 x4
Zn  0.250  0.250  0.750 x4
Hg  0.250  0.250  0.250 x4

***

A plane-wave DFT calculation with GGA-PBE was carried out for CeZrTlHg after structural relaxation.

The calculation puts the total magnetic moment at 0.6056 μB per atom. The calculated formation energy comes out at -106 meV/atom. Its total DFT energy (no corrections) is -4.393 eV/atom.

a b c (Å): 7.446 7.446 7.446
angles (deg): 90.00 90.00 90.00
Space group F-43m (No. 216)
Inequivalent atoms, fractional coordinates:
Ce  0.000  0.000  0.000 x4
Zr  0.000  0.000  0.500 x4
Tl  0.250  0.250  0.750 x4
Hg  0.250  0.250  0.250 x4

***

Q: Number 1 is which compound?
A: Ce2TlHg4

***

Q: The lowest total magnetic moment belongs to which entry?
A: CeTlZnHg

***

Q: What is the calculated formation energy in the third record?
A: -195 meV/atom